Density functional theory data (PBEsol) for a relaxed CdHgTe2 crystal.

Unit cell a=4.595 b=4.595 c=7.948 alpha=73.20 beta=73.20 gamma=60.00
Atoms (fractional coordinates):
1 Hg 0.500 0.500 0.500
2 Te 0.125 0.125 0.625
3 Te 0.625 0.625 0.124
4 Cd 0.000 0.000 0.001

Summary:
For the formation energy from raw total energies, the calculation gives -259.5 meV per atom. Its density is 6.9 Mg/m³. The value obtained for the total energy is -9.9 eV for the cell shown. The energy above the most stable polymorph in this dataset is 0 meV/atom. The space group is No. 160.